The following is a DFT calculation (PBE) of a geometry-optimized ErPa4P5 structure.

Lattice parameters (Å, degrees): 5.6059 6.8667 6.8667 80.41 65.91 65.91
Positions (direct):
Er 0.0010 0.0000 0.0000
Pa 0.4005 0.4000 0.8010
Pa 0.8006 0.8010 0.6000
Pa 0.2015 0.1990 0.4000
Pa 0.6016 0.6000 0.1990
P 0.9012 0.3988 0.8009
P 0.3000 0.8009 0.6012
P 0.7020 0.1991 0.3988
P 0.1009 0.6012 0.1991
P 0.5010 0.0000 0.0000

## Properties
The crystal system is tetragonal. The value obtained for the volume is 22.0 Å³/atom. Its total magnetization is 0.000 μB per formula unit. The calculation puts the energy of formation at -132.9 kJ per mole of atoms.

=====

The following is a DFT calculation (PBE) of a geometry-optimized Er3PaP4 structure.

Lattice parameters (Å, degrees): 3.9691 6.8549 6.8549 109.49 90.00 90.00
Positions (direct):
Er 0.0000 0.0000 0.5000
Er 0.5000 0.5000 0.5000
Er 0.0000 0.5000 0.0000
Pa 0.5000 0.0000 0.0000
P 0.0000 0.2489 0.2489
P 0.5000 0.7521 0.2479
P 0.0000 0.7511 0.7511
P 0.5000 0.2479 0.7521

## Properties
The energy above the most stable polymorph in this dataset is 0.005 eV/atom. The crystal system is orthorhombic. The value obtained for the volume is 22.0 Å³/atom. Its total magnetization is 0.000 μB per formula unit. The calculation puts the energy of formation at -148.9 kJ per mole of atoms.

=====

The following is a DFT calculation (PBE) of a geometry-optimized ErPa2P structure.

Lattice parameters (Å, degrees): 3.4401 3.4401 10.2808 80.37 80.37 60.00
Positions (direct):
P 0.5000 0.5000 0.5000
Pa 0.1049 0.1049 0.6853
Pa 0.8951 0.8951 0.3147
Er 0.0000 0.0000 0.0000

## Properties
The crystal system is trigonal. The value obtained for the volume is 25.8 Å³/atom. Its total magnetization is 0.000 μB per formula unit. The calculation puts the energy of formation at -13.7 kJ per mole of atoms.

=====

The following is a DFT calculation (PBE) of a geometry-optimized Er2PaP3 structure.

Lattice parameters (Å, degrees): 3.9703 5.5950 6.8569 114.08 106.84 90.00
Positions (direct):
Er 0.1676 0.6675 0.3350
Er 0.8324 0.3325 0.6650
Pa 0.5000 0.0000 0.0000
P 0.5000 0.5000 0.0000
P 0.1646 0.1645 0.3290
P 0.8354 0.8355 0.6710

## Properties
The crystal system is orthorhombic. The value obtained for the volume is 22.0 Å³/atom. Its total magnetization is 0.000 μB per formula unit. The calculation puts the energy of formation at -145.8 kJ per mole of atoms.

=====

The following is a DFT calculation (PBE) of a geometry-optimized Er3Pa5P8 structure.

Lattice parameters (Å, degrees): 7.9199 7.9199 7.9258 60.02 60.02 60.00
Positions (direct):
Er 0.5000 0.0000 0.5000
Er 0.0000 0.0000 0.5000
Er 0.0000 0.5000 0.5000
Pa 0.5000 0.0000 0.0000
Pa 0.5000 0.5000 0.0000
Pa 0.0000 0.0000 0.0000
Pa 0.0000 0.5000 0.0000
Pa 0.5000 0.5000 0.5000
P 0.2500 0.2500 0.7488
P 0.2500 0.7512 0.7488
P 0.7512 0.2500 0.7488
P 0.7495 0.7495 0.7514
P 0.7500 0.7500 0.2512
P 0.7500 0.2488 0.2512
P 0.2488 0.7500 0.2512
P 0.2505 0.2505 0.2486

## Properties
The crystal system is trigonal. The value obtained for the volume is 22.0 Å³/atom. Its total magnetization is 0.000 μB per formula unit. The calculation puts the energy of formation at -136.8 kJ per mole of atoms.

=====

The following is a DFT calculation (PBE) of a geometry-optimized Pm3Er2PaP6 structure.

Lattice parameters (Å, degrees): 6.9928 6.9928 7.0239 99.53 99.53 120.00
Positions (direct):
Pm 0.1680 0.8320 0.5000
Pm 0.8320 0.1680 0.5000
Pm 0.5000 0.5000 0.5000
Er 0.3337 0.6663 0.0000
Er 0.6663 0.3337 0.0000
Pa 0.0000 0.0000 0.0000
P 0.9210 0.5921 0.7625
P 0.7505 0.7505 0.2369
P 0.0790 0.4079 0.2375
P 0.5921 0.9210 0.7625
P 0.2495 0.2495 0.7631
P 0.4079 0.0790 0.2375

## Properties
The crystal system is monoclinic. The value obtained for the volume is 23.4 Å³/atom. Its total magnetization is 0.000 μB per formula unit. The calculation puts the energy of formation at -150.3 kJ per mole of atoms.

=====

The following is a DFT calculation (PBE) of a geometry-optimized PrEr2PaP4 structure.

Lattice parameters (Å, degrees): 4.0272 6.9236 6.9878 70.51 90.00 90.00
Positions (direct):
Pr 0.5000 0.5000 0.0000
Er 0.0000 0.0000 0.0000
Er 0.5000 0.0000 0.5000
Pa 0.0000 0.5000 0.5000
P 0.0000 0.7568 0.7367
P 0.0000 0.2432 0.2633
P 0.5000 0.7526 0.2574
P 0.5000 0.2474 0.7426

## Properties
The crystal system is monoclinic. The value obtained for the volume is 23.0 Å³/atom. Its total magnetization is 0.000 μB per formula unit. The calculation puts the energy of formation at -145.0 kJ per mole of atoms.

=====

The following is a DFT calculation (PBE) of a geometry-optimized Pr3Er2PaP6 structure.

Lattice parameters (Å, degrees): 7.0487 7.0487 7.0970 99.51 99.51 120.00
Positions (direct):
Pr 0.1680 0.8320 0.5000
Pr 0.8320 0.1680 0.5000
Pr 0.5000 0.5000 0.5000
Er 0.3337 0.6663 0.0000
Er 0.6663 0.3337 0.0000
Pa 0.0000 0.0000 0.0000
P 0.9226 0.5941 0.7673
P 0.7494 0.7494 0.2324
P 0.0774 0.4059 0.2327
P 0.5941 0.9226 0.7673
P 0.2506 0.2506 0.7676
P 0.4059 0.0774 0.2327

## Properties
The crystal system is monoclinic. The value obtained for the volume is 24.0 Å³/atom. Its total magnetization is 0.000 μB per formula unit. The calculation puts the energy of formation at -147.5 kJ per mole of atoms.

=====

The following is a DFT calculation (PBE) of a geometry-optimized Er2PuPa3P6 structure.

Lattice parameters (Å, degrees): 6.8857 6.8857 6.8578 99.63 99.63 120.04
Last column: magnetic moment on the atom in μB.
Positions (direct):
Er 0.3333 0.6667 0.0000  0.00
Er 0.6667 0.3333 0.0000  0.00
Pu 0.0000 0.0000 0.0000  -5.05
Pa 0.1669 0.8331 0.5000  -0.16
Pa 0.8331 0.1669 0.5000  -0.16
Pa 0.5000 0.5000 0.5000  -0.18
P 0.9162 0.5815 0.7483  0.02
P 0.7492 0.7492 0.2513  0.02
P 0.0838 0.4185 0.2517  0.02
P 0.5815 0.9162 0.7483  0.02
P 0.2508 0.2508 0.7487  0.02
P 0.4185 0.0838 0.2517  0.02

## Properties
The crystal system is monoclinic. The value obtained for the volume is 22.1 Å³/atom. Its total magnetization is 5.912 μB per formula unit. The calculation puts the energy of formation at -134.2 kJ per mole of atoms.

=====

The following is a DFT calculation (PBE) of a geometry-optimized ErPaP2Rh5 structure.

Lattice parameters (Å, degrees): 4.0010 4.0010 10.7416 90.00 90.00 90.00
Positions (direct):
Er 0.0000 0.0000 0.5000
Pa 0.0000 0.0000 0.0000
P 0.5000 0.5000 0.2897
P 0.5000 0.5000 0.7103
Rh 0.0000 0.5000 0.1832
Rh 0.5000 0.0000 0.1832
Rh 0.0000 0.5000 0.8168
Rh 0.5000 0.0000 0.8168
Rh 0.5000 0.5000 0.5000

## Properties
The crystal system is tetragonal. The value obtained for the volume is 19.1 Å³/atom. Its total magnetization is 0.000 μB per formula unit. The calculation puts the energy of formation at -79.0 kJ per mole of atoms.

=====

The following is a DFT calculation (PBE) of a geometry-optimized Er2PaP3Rh12 structure.

Lattice parameters (Å, degrees): 6.7061 6.7061 6.7061 82.72 82.72 82.72
Positions (direct):
Er 0.6232 0.6232 0.6232
Er 0.3768 0.3768 0.3768
Pa 0.0000 0.0000 0.0000
P 0.5000 0.0000 0.0000
P 0.0000 0.5000 0.0000
P 0.0000 0.0000 0.5000
Rh 0.3666 0.3666 0.9111
Rh 0.8211 0.8211 0.3354
Rh 0.3354 0.8211 0.8211
Rh 0.9111 0.3666 0.3666
Rh 0.8211 0.3354 0.8211
Rh 0.3666 0.9111 0.3666
Rh 0.6334 0.6334 0.0889
Rh 0.1789 0.1789 0.6646
Rh 0.6646 0.1789 0.1789
Rh 0.0889 0.6334 0.6334
Rh 0.1789 0.6646 0.1789
Rh 0.6334 0.0889 0.6334

## Properties
The crystal system is trigonal. The value obtained for the volume is 16.4 Å³/atom. Its total magnetization is 0.000 μB per formula unit. The calculation puts the energy of formation at -46.5 kJ per mole of atoms.

=====

The following is a DFT calculation (PBE) of a geometry-optimized Sm3Er2PaP6 structure.

Lattice parameters (Å, degrees): 6.9737 6.9737 6.9989 99.54 99.54 120.01
Positions (direct):
Sm 0.1679 0.8321 0.5000
Sm 0.8321 0.1679 0.5000
Sm 0.5000 0.5000 0.5000
Er 0.3336 0.6664 0.0000
Er 0.6664 0.3336 0.0000
Pa 0.0000 0.0000 0.0000
P 0.9205 0.5915 0.7610
P 0.7509 0.7509 0.2384
P 0.0795 0.4085 0.2390
P 0.5915 0.9205 0.7610
P 0.2491 0.2491 0.7616
P 0.4085 0.0795 0.2390

## Properties
The crystal system is monoclinic. The value obtained for the volume is 23.2 Å³/atom. Its total magnetization is 0.000 μB per formula unit. The calculation puts the energy of formation at -150.7 kJ per mole of atoms.

=====

The following is a DFT calculation (PBE) of a geometry-optimized Sr2ErPaP4 structure.

Lattice parameters (Å, degrees): 4.1642 7.1122 7.3405 108.92 90.00 90.00
Positions (direct):
Sr 0.5000 0.0000 0.5000
Sr 0.0000 0.5000 0.5000
Er 0.5000 0.5000 0.0000
Pa 0.0000 0.0000 0.0000
P 0.5000 0.2320 0.2142
P 0.5000 0.7680 0.7858
P 0.0000 0.2524 0.7840
P 0.0000 0.7476 0.2160

## Properties
The crystal system is monoclinic. The value obtained for the volume is 25.7 Å³/atom. Its total magnetization is 0.000 μB per formula unit. The calculation puts the energy of formation at -126.7 kJ per mole of atoms.

=====

The following is a DFT calculation (PBE) of a geometry-optimized Sr3ErPa2P6 structure.

Lattice parameters (Å, degrees): 7.1442 7.1442 7.3271 99.35 99.35 119.99
Positions (direct):
Sr 0.1650 0.8350 0.5000
Sr 0.8350 0.1650 0.5000
Sr 0.5000 0.5000 0.5000
Er 0.0000 0.0000 0.0000
Pa 0.3331 0.6669 0.0000
Pa 0.6669 0.3331 0.0000
P 0.9282 0.5877 0.7849
P 0.7312 0.7312 0.2151
P 0.0718 0.4123 0.2151
P 0.5877 0.9282 0.7849
P 0.2688 0.2688 0.7849
P 0.4123 0.0718 0.2151

## Properties
The crystal system is monoclinic. The value obtained for the volume is 25.5 Å³/atom. Its total magnetization is 0.000 μB per formula unit. The calculation puts the energy of formation at -124.9 kJ per mole of atoms.

=====

The following is a DFT calculation (PBE) of a geometry-optimized Tb2ErPaP4 structure.

Lattice parameters (Å, degrees): 3.9986 6.8983 6.9165 109.46 90.00 90.00
Positions (direct):
Tb 0.5000 0.0000 0.5000
Tb 0.0000 0.5000 0.5000
Er 0.0000 0.0000 0.0000
Pa 0.5000 0.5000 0.0000
P 0.5000 0.2511 0.2437
P 0.5000 0.7489 0.7563
P 0.0000 0.2530 0.7557
P 0.0000 0.7470 0.2443

## Properties
The crystal system is monoclinic. The value obtained for the volume is 22.5 Å³/atom. Its total magnetization is 0.000 μB per formula unit. The calculation puts the energy of formation at -149.3 kJ per mole of atoms.

=====

The following is a DFT calculation (PBE) of a geometry-optimized TbEr2Pa3P6 structure.

Lattice parameters (Å, degrees): 6.8823 6.8823 6.8718 99.61 99.61 120.01
Positions (direct):
Tb 0.0000 0.0000 0.0000
Er 0.3333 0.6667 0.0000
Er 0.6667 0.3333 0.0000
Pa 0.1661 0.8339 0.5000
Pa 0.8339 0.1661 0.5000
Pa 0.5000 0.5000 0.5000
P 0.9158 0.5803 0.7474
P 0.7484 0.7484 0.2519
P 0.0842 0.4197 0.2526
P 0.5803 0.9158 0.7474
P 0.2516 0.2516 0.7481
P 0.4197 0.0842 0.2526

## Properties
The crystal system is monoclinic. The value obtained for the volume is 22.1 Å³/atom. Its total magnetization is 0.000 μB per formula unit. The calculation puts the energy of formation at -140.3 kJ per mole of atoms.

=====

The following is a DFT calculation (PBE) of a geometry-optimized TbErPa2P4 structure.

Lattice parameters (Å, degrees): 3.9789 6.8805 6.8902 70.49 90.00 90.00
Positions (direct):
Tb 0.5000 0.5000 0.0000
Er 0.0000 0.5000 0.5000
Pa 0.0000 0.0000 0.0000
Pa 0.5000 0.0000 0.5000
P 0.0000 0.7538 0.7470
P 0.0000 0.2462 0.2530
P 0.5000 0.7525 0.2508
P 0.5000 0.2475 0.7492

## Properties
The crystal system is monoclinic. The value obtained for the volume is 22.2 Å³/atom. Its total magnetization is 0.000 μB per formula unit. The calculation puts the energy of formation at -140.3 kJ per mole of atoms.

=====

The following is a DFT calculation (PBE) of a geometry-optimized TbEr2PaP4 structure.

Lattice parameters (Å, degrees): 3.9841 6.8886 6.8708 109.49 90.00 90.00
Positions (direct):
Tb 0.0000 0.0000 0.0000
Er 0.5000 0.0000 0.5000
Er 0.0000 0.5000 0.5000
Pa 0.5000 0.5000 0.0000
P 0.5000 0.2550 0.2502
P 0.5000 0.7450 0.7498
P 0.0000 0.2527 0.7501
P 0.0000 0.7473 0.2499

## Properties
The crystal system is monoclinic. The value obtained for the volume is 22.2 Å³/atom. Its total magnetization is 0.000 μB per formula unit. The calculation puts the energy of formation at -148.9 kJ per mole of atoms.

=====

The following is a DFT calculation (PBE) of a geometry-optimized ErThPa2P4 structure.

Lattice parameters (Å, degrees): 4.0165 6.9412 6.9545 70.46 90.00 90.00
Positions (direct):
Er 0.5000 0.5000 0.0000
Th 0.0000 0.5000 0.5000
Pa 0.0000 0.0000 0.0000
Pa 0.5000 0.0000 0.5000
P 0.0000 0.7555 0.7540
P 0.0000 0.2445 0.2460
P 0.5000 0.7589 0.2406
P 0.5000 0.2411 0.7594

## Properties
The crystal system is monoclinic. The value obtained for the volume is 22.8 Å³/atom. Its total magnetization is 0.000 μB per formula unit. The calculation puts the energy of formation at -137.9 kJ per mole of atoms.

=====

The following is a DFT calculation (PBE) of a geometry-optimized ErTh2PaP4 structure.

Lattice parameters (Å, degrees): 4.0585 7.0116 7.0264 109.49 90.00 90.00
Positions (direct):
Er 0.0000 0.0000 0.0000
Th 0.5000 0.0000 0.5000
Th 0.0000 0.5000 0.5000
Pa 0.5000 0.5000 0.0000
P 0.5000 0.2476 0.2371
P 0.5000 0.7524 0.7629
P 0.0000 0.2549 0.7639
P 0.0000 0.7451 0.2361

## Properties
The crystal system is monoclinic. The value obtained for the volume is 23.6 Å³/atom. Its total magnetization is 0.000 μB per formula unit. The calculation puts the energy of formation at -144.6 kJ per mole of atoms.

=====

The following is a DFT calculation (PBE) of a geometry-optimized ErTm2PaP4 structure.

Lattice parameters (Å, degrees): 3.9600 6.8400 6.8338 109.50 90.00 90.00
Positions (direct):
Er 0.0000 0.0000 0.0000
Tm 0.5000 0.0000 0.5000
Tm 0.0000 0.5000 0.5000
Pa 0.5000 0.5000 0.0000
P 0.5000 0.2524 0.2494
P 0.5000 0.7476 0.7506
P 0.0000 0.2505 0.7495
P 0.0000 0.7495 0.2505

## Properties
The crystal system is monoclinic. The value obtained for the volume is 21.8 Å³/atom. Its total magnetization is 0.000 μB per formula unit. The calculation puts the energy of formation at -148.4 kJ per mole of atoms.

=====

The following is a DFT calculation (PBE) of a geometry-optimized YErPa2P4 structure.

Lattice parameters (Å, degrees): 3.9758 6.8739 6.8848 70.49 90.00 90.00
Positions (direct):
Y 0.5000 0.5000 0.0000
Er 0.0000 0.5000 0.5000
Pa 0.0000 0.0000 0.0000
Pa 0.5000 0.0000 0.5000
P 0.0000 0.7532 0.7475
P 0.0000 0.2468 0.2525
P 0.5000 0.7521 0.2506
P 0.5000 0.2479 0.7494

## Properties
The crystal system is monoclinic. The value obtained for the volume is 22.2 Å³/atom. Its total magnetization is 0.000 μB per formula unit. The calculation puts the energy of formation at -140.5 kJ per mole of atoms.

=====

The following is a DFT calculation (PBE) of a geometry-optimized YEr2PaP4 structure.

Lattice parameters (Å, degrees): 3.9803 6.8785 6.8685 109.50 90.00 90.00
Positions (direct):
Y 0.0000 0.0000 0.0000
Er 0.5000 0.0000 0.5000
Er 0.0000 0.5000 0.5000
Pa 0.5000 0.5000 0.0000
P 0.5000 0.2545 0.2498
P 0.5000 0.7455 0.7502
P 0.0000 0.2524 0.7503
P 0.0000 0.7476 0.2497

## Properties
The crystal system is monoclinic. The value obtained for the volume is 22.2 Å³/atom. Its total magnetization is 0.000 μB per formula unit. The calculation puts the energy of formation at -149.2 kJ per mole of atoms.